The following is a DFT calculation (PBE) of Ta2MnRh after structural relaxation.

Computed properties:
- Fermi-level density of states (states/eV per atom) = 0.675
- energy of formation (eV/f.u.) = -0.9
- calculated total energy (eV for the cell shown) = -41.1

Lattice parameters (Å, degrees): 3.192 3.192 6.265 90.00 90.00 90.00
Element x y z (fractional)
1 Ta 0.000 0.000 0.000
2 Ta 0.500 0.500 0.285
3 Mn 0.000 0.000 0.511
4 Rh 0.500 0.500 0.763